# 1
Here is a crystal of Ni3Au4 relaxed with PBEsol from Alexandria via LeMat-Bulk. Energies are from meta-GGA SCAN.

Properties
The formation energy is 0.47 eV per formula unit. The total energy is -46.38 eV/atom.

Lattice parameters (Å, degrees): 2.8455 2.8455 24.4443 90.00 90.00 90.00
Closest atoms and distances in Å follow each position.
Space group I4/mmm (No. 139)
One atom of each set of equivalent atoms:
Ni1 0.0000 0.0000 0.0000 [2 per cell]  8 Au 2.62, 4 Ni 2.85
Ni2 0.0000 0.0000 0.2757 [4 per cell]  4 Ni 2.37, 4 Au 2.64
Au1 0.0000 0.0000 0.1545 [4 per cell]  4 Ni 2.64, 8 Au 2.85-2.90
Au2 0.0000 0.0000 0.4312 [4 per cell]  4 Ni 2.62, 8 Au 2.85-2.90

***

# 2
Here is a crystal of Ni3Au relaxed with PBEsol from Alexandria via LeMat-Bulk. Energies are from meta-GGA SCAN.

Properties
The formation energy is 0.34 eV per formula unit. The total energy is -29.33 eV/atom.

Lattice parameters (Å, degrees): 2.6475 3.4131 5.3463 90.00 90.00 90.00
Closest atoms and distances in Å follow each position.
Space group Pmmm (No. 47)
One atom of each set of equivalent atoms:
Ni1 0.0000 0.0000 0.0000 [1 per cell]  10 Ni 2.46-2.65, 2 Au 2.67
Ni2 0.5000 0.5000 0.2214 [2 per cell]  7 Ni 2.37-2.65, 4 Au 2.62
Au1 0.0000 0.0000 0.5000 [1 per cell]  10 Ni 2.62-2.67, 2 Au 2.65

***

# 3
Here is a crystal of NiAu relaxed with PBEsol from Alexandria via LeMat-Bulk. Energies are from meta-GGA SCAN.

Properties
The formation energy is 0.31 eV per formula unit. The total energy is -42.51 eV/atom.

Lattice parameters (Å, degrees): 2.7213 4.4836 4.5602 90.00 90.00 90.00
Closest atoms and distances in Å follow each position.
Space group Pmmn (No. 59, origin choice 2)
One atom of each set of equivalent atoms:
Ni1 0.2500 0.2500 0.0911 [2 per cell]  6 Au 2.58-2.73, 6 Ni 2.72-2.75
Au1 0.2500 0.7500 0.3892 [2 per cell]  6 Ni 2.58-2.73, 6 Au 2.72-2.81

***

# 4
Here is a crystal of Ni4Au relaxed with PBEsol from Alexandria via LeMat-Bulk. Energies are from meta-GGA SCAN.

Properties
The formation energy is 0.33 eV per formula unit. The total energy is -26.70 eV/atom.

Lattice parameters (Å, degrees): 5.7152 5.7152 3.5851 90.00 90.00 90.00
Closest atoms and distances in Å follow each position.
Space group I4/m (No. 87)
One atom of each set of equivalent atoms:
Ni1 0.0945 0.6913 0.0000 [8 per cell]  9 Ni 2.44-2.61, 3 Au 2.56-2.57
Au1 0.0000 0.0000 0.5000 [2 per cell]  12 Ni 2.56-2.57

***

# 5
Here is a crystal of NiAu relaxed with PBEsol from Alexandria via LeMat-Bulk. Energies are from meta-GGA SCAN.

Properties
The formation energy is 0.27 eV per formula unit. The total energy is -42.53 eV/atom.

Lattice parameters (Å, degrees): 2.7378 2.7378 25.9143 90.00 90.00 120.00
Closest atoms and distances in Å follow each position.
Space group R-3m (No. 166, hexagonal axes)
One atom of each set of equivalent atoms:
Ni1 0.0000 0.0000 0.1322 [6 per cell]  3 Ni 2.39
Au1 0.0000 0.0000 0.3823 [6 per cell]  3 Ni 2.67, 9 Au 2.74-2.99

***

# 6
Here is a crystal of NiOs2Au relaxed with PBEsol from Alexandria via LeMat-Bulk. Energies are from meta-GGA SCAN.

Properties
For the energy above the most stable polymorph in this dataset, the calculation gives 0.000 eV/atom. The formation energy is 1.11 eV per formula unit. The total energy is -57.00 eV/atom.

Lattice parameters (Å, degrees): 2.7437 3.7317 5.4311 90.00 90.00 90.00
Closest atoms and distances in Å follow each position.
Space group Pmm2 (No. 25)
One atom of each set of equivalent atoms:
Ni1 0.0000 0.0000 0.0000 [1 per cell]  5 Os 2.53-2.69, 4 Au 2.66, 2 Ni 2.74
Os1 0.0000 0.0000 0.4662 [1 per cell]  1 Ni 2.53, 6 Os 2.59-2.74, 4 Au 2.81
Os2 0.5000 0.5000 0.2519 [1 per cell]  6 Os 2.59-2.74, 2 Au 2.67-2.76, 4 Ni 2.69
Au1 0.5000 0.5000 0.7594 [1 per cell]  4 Ni 2.66, 6 Os 2.67-2.81, 2 Au 2.74

***

# 7
Here is a crystal of NiOsAu2 relaxed with PBEsol from Alexandria via LeMat-Bulk. Energies are from meta-GGA SCAN.

Properties
For the energy above the most stable polymorph in this dataset, the calculation gives 0.000 eV/atom. The formation energy is 1.10 eV per formula unit. The total energy is -56.32 eV/atom.

Lattice parameters (Å, degrees): 2.7252 2.7252 7.8396 90.00 90.00 90.00
Closest atoms and distances in Å follow each position.
Space group P4mm (No. 99)
One atom of each set of equivalent atoms:
Ni1 0.0000 0.0000 0.0000 [1 per cell]  4 Os 2.50, 4 Au 2.70, 4 Ni 2.73
Os1 0.5000 0.5000 0.2027 [1 per cell]  4 Ni 2.50, 4 Os 2.73
Au1 0.0000 0.0000 0.4713 [1 per cell]  8 Au 2.73-2.96, 4 Os 2.85
Au2 0.5000 0.5000 0.7582 [1 per cell]  4 Ni 2.70, 8 Au 2.73-2.96

***

# 8
Here is a crystal of NiOs2Au relaxed with PBEsol from Alexandria via LeMat-Bulk. Energies are from meta-GGA SCAN.

Properties
For the energy above the most stable polymorph in this dataset, the calculation gives 0.370 eV/atom. The formation energy is 2.59 eV per formula unit. The total energy is -56.62 eV/atom.

Lattice parameters (Å, degrees): 2.7407 4.4682 4.6277 90.00 90.00 90.00
Closest atoms and distances in Å follow each position.
Space group Pmmm (No. 47)
One atom of each set of equivalent atoms:
Ni1 0.0000 0.0000 0.0000 [1 per cell]  4 Au 2.62, 4 Os 2.69, 2 Ni 2.74
Os1 0.0000 0.5000 0.5000 [1 per cell]  6 Os 2.62-2.74, 4 Au 2.69
Os2 0.5000 0.0000 0.5000 [1 per cell]  6 Os 2.62-2.74, 4 Ni 2.69
Au1 0.5000 0.5000 0.0000 [1 per cell]  4 Ni 2.62, 4 Os 2.69, 2 Au 2.74

***

# 9
Here is a crystal of NiOsAu2 relaxed with PBEsol from Alexandria via LeMat-Bulk. Energies are from meta-GGA SCAN.

Properties
For the energy above the most stable polymorph in this dataset, the calculation gives 0.227 eV/atom. The formation energy is 2.01 eV per formula unit. The total energy is -56.09 eV/atom.

Lattice parameters (Å, degrees): 2.7306 2.7306 7.7769 90.00 90.00 90.00
Closest atoms and distances in Å follow each position.
Space group P4/mmm (No. 123)
One atom of each set of equivalent atoms:
Ni1 0.0000 0.0000 0.0000 [1 per cell]  8 Au 2.66, 4 Ni 2.73
Os1 0.0000 0.0000 0.5000 [1 per cell]  4 Os 2.73, 8 Au 2.82
Au1 0.5000 0.5000 0.2357 [2 per cell]  4 Ni 2.66, 4 Au 2.73, 4 Os 2.82

***

# 10
Here is a crystal of Ni2SnOsAu relaxed with PBEsol from Alexandria via LeMat-Bulk. Energies are from meta-GGA SCAN.

Properties
The formation energy is 9.64 eV per formula unit. The total energy is -39.93 eV/atom.

Lattice parameters (Å, degrees): 4.4810 4.4810 4.8907 90.00 90.00 90.00
Closest atoms and distances in Å follow each position.
Space group P4/mmm (No. 123)
One atom of each set of equivalent atoms:
Ni1 0.0000 0.5000 0.0000 [2 per cell]  2 Sn 2.24
Sn1 0.0000 0.0000 0.0000 [1 per cell]  4 Ni 2.24, 2 Au 2.45
Os1 0.5000 0.5000 0.5000 [1 per cell]  4 Au 3.17, 8 Ni 3.32
Au1 0.0000 0.0000 0.5000 [1 per cell]  2 Sn 2.45

***

# 11
Here is a crystal of TcNi2OsAu relaxed with PBEsol from Alexandria via LeMat-Bulk. Energies are from meta-GGA SCAN.

Properties
The formation energy is 8.28 eV per formula unit. The total energy is -40.03 eV/atom.

Lattice parameters (Å, degrees): 4.3564 4.3564 4.5704 90.00 90.00 90.00
Closest atoms and distances in Å follow each position.
Space group P4/mmm (No. 123)
One atom of each set of equivalent atoms:
Tc1 0.0000 0.0000 0.0000 [1 per cell]  4 Ni 2.18, 2 Os 2.29
Ni1 0.0000 0.5000 0.0000 [2 per cell]  2 Tc 2.18
Os1 0.0000 0.0000 0.5000 [1 per cell]  2 Tc 2.29
Au1 0.5000 0.5000 0.5000 [1 per cell]  4 Os 3.08, 8 Ni 3.16

***

# 12
Here is a crystal of NiPAu2 relaxed with PBEsol from Alexandria via LeMat-Bulk. Energies are from meta-GGA SCAN.

Properties
The formation energy is 1.40 eV per formula unit. The total energy is -40.87 eV/atom.

Lattice parameters (Å, degrees): 6.1929 6.1929 6.1929 90.00 90.00 90.00
Closest atoms and distances in Å follow each position.
Space group F-43m (No. 216)
One atom of each set of equivalent atoms:
Ni1 0.0000 0.0000 0.0000 [4 per cell]  4 Au 2.68, 4 P 2.68
P1 0.2500 0.2500 0.7500 [4 per cell]  4 Ni 2.68, 4 Au 2.68
Au1 0.0000 0.0000 0.5000 [4 per cell]  4 P 2.68, 4 Au 2.68
Au2 0.2500 0.2500 0.2500 [4 per cell]  4 Ni 2.68, 4 Au 2.68

***

# 13
Here is a crystal of NiP2Au relaxed with PBEsol from Alexandria via LeMat-Bulk. Energies are from meta-GGA SCAN.

Properties
The formation energy is 0.93 eV per formula unit. The total energy is -26.30 eV/atom.

Lattice parameters (Å, degrees): 2.6397 2.6397 8.4566 90.00 90.00 90.00
Closest atoms and distances in Å follow each position.
Space group P4/mmm (No. 123)
One atom of each set of equivalent atoms:
Ni1 0.0000 0.0000 0.0000 [1 per cell]  8 P 2.43, 4 Ni 2.64
P1 0.5000 0.5000 0.1845 [2 per cell]  4 Ni 2.43, 4 P 2.64
Au1 0.0000 0.0000 0.5000 [1 per cell]  4 Au 2.64

***

# 14
Here is a crystal of NiPAu3 relaxed with PBEsol from Alexandria via LeMat-Bulk. Energies are from meta-GGA SCAN.

Properties
The formation energy is 5.43 eV per formula unit. The total energy is -45.72 eV/atom.

Lattice parameters (Å, degrees): 4.6109 4.6109 4.6109 90.00 90.00 90.00
Closest atoms and distances in Å follow each position.
Space group Pm-3m (No. 221)
One atom of each set of equivalent atoms:
Ni1 0.0000 0.0000 0.0000 [1 per cell]  6 Au 2.31
P1 0.5000 0.5000 0.5000 [1 per cell]  12 Au 3.26
Au1 0.0000 0.0000 0.5000 [3 per cell]  2 Ni 2.31

***

# 15
Here is a crystal of NiPRhAu2 relaxed with PBEsol from Alexandria via LeMat-Bulk. Energies are from meta-GGA SCAN.

Properties
The formation energy is 5.71 eV per formula unit. The total energy is -38.59 eV/atom.

Lattice parameters (Å, degrees): 4.6196 4.6196 4.3307 90.00 90.00 90.00
Closest atoms and distances in Å follow each position.
Space group P4/mmm (No. 123)
One atom of each set of equivalent atoms:
Ni1 0.0000 0.0000 0.0000 [1 per cell]  2 Rh 2.17, 4 Au 2.31
P1 0.5000 0.5000 0.5000 [1 per cell]  8 Au 3.17, 4 Rh 3.27
Rh1 0.0000 0.0000 0.5000 [1 per cell]  2 Ni 2.17
Au1 0.0000 0.5000 0.0000 [2 per cell]  2 Ni 2.31

***

# 16
Here is a crystal of NiP2AuS relaxed with PBEsol from Alexandria via LeMat-Bulk. Energies are from meta-GGA SCAN.

Properties
The total energy is -21.86 eV/atom.

Lattice parameters (Å, degrees): 4.3838 4.3838 4.6092 90.00 90.00 90.00
Closest atoms and distances in Å follow each position.
Space group P4/mmm (No. 123)
One atom of each set of equivalent atoms:
Ni1 0.0000 0.0000 0.0000 [1 per cell]  4 Au 3.10, 8 P 3.18
P1 0.0000 0.5000 0.5000 [2 per cell]  2 S 2.19
Au1 0.5000 0.5000 0.0000 [1 per cell]  2 S 2.30
S1 0.5000 0.5000 0.5000 [1 per cell]  4 P 2.19, 2 Au 2.30

***

# 17
Here is a crystal of NiPbAu relaxed with PBEsol from Alexandria via LeMat-Bulk. Energies are from meta-GGA SCAN.

Properties
The formation energy is 0.33 eV per formula unit. The total energy is -53.59 eV/atom.

Lattice parameters (Å, degrees): 6.0990 6.0990 6.0990 90.00 90.00 90.00
Closest atoms and distances in Å follow each position.
Space group F-43m (No. 216)
One atom of each set of equivalent atoms:
Ni1 0.0000 0.0000 0.0000 [4 per cell]  4 Au 2.64, 4 Pb 2.64
Pb1 0.2500 0.2500 0.7500 [4 per cell]  4 Ni 2.64
Au1 0.2500 0.2500 0.2500 [4 per cell]  4 Ni 2.64

***

# 18
Here is a crystal of NiPt2Au relaxed with PBEsol from Alexandria via LeMat-Bulk. Energies are from meta-GGA SCAN.

Properties
For the energy above the most stable polymorph in this dataset, the calculation gives 0.123 eV/atom. The formation energy is 0.06 eV per formula unit. The total energy is -56.42 eV/atom.

Lattice parameters (Å, degrees): 2.7199 4.6263 4.6612 90.00 90.73 90.00
Closest atoms and distances in Å follow each position.
Space group P2/m (No. 10)
One atom of each set of equivalent atoms:
Ni1 0.0000 0.0000 0.0000 [1 per cell]  4 Pt 2.66, 4 Au 2.68-2.71, 2 Ni 2.72
Pt1 0.2388 0.5000 0.7570 [2 per cell]  6 Pt 2.63-2.80, 2 Ni 2.66, 2 Au 2.70
Au1 0.5000 0.0000 0.5000 [1 per cell]  4 Ni 2.68-2.71, 4 Pt 2.70, 2 Au 2.72

***

# 19
Here is a crystal of Ni2PtAu relaxed with PBEsol from Alexandria via LeMat-Bulk. Energies are from meta-GGA SCAN.

Properties
For the energy above the most stable polymorph in this dataset, the calculation gives 0.048 eV/atom. The formation energy is -0.01 eV per formula unit. The total energy is -42.93 eV/atom.

Lattice parameters (Å, degrees): 3.8635 3.8635 7.0964 90.00 90.00 90.00
Closest atoms and distances in Å follow each position.
Space group I4/mmm (No. 139)
One atom of each set of equivalent atoms:
Ni1 0.0000 0.5000 0.2500 [4 per cell]  4 Pt 2.62, 4 Au 2.62, 4 Ni 2.73
Pt1 0.0000 0.0000 0.0000 [2 per cell]  8 Ni 2.62, 4 Au 2.73
Au1 0.0000 0.0000 0.5000 [2 per cell]  8 Ni 2.62, 4 Pt 2.73

***

# 20
Here is a crystal of Ni2PtAu relaxed with PBEsol from Alexandria via LeMat-Bulk. Energies are from meta-GGA SCAN.

Properties
For the energy above the most stable polymorph in this dataset, the calculation gives 0.014 eV/atom. The formation energy is -0.15 eV per formula unit. The total energy is -42.96 eV/atom.

Lattice parameters (Å, degrees): 2.7179 2.7179 7.1701 90.00 90.00 90.00
Closest atoms and distances in Å follow each position.
Space group P4/mmm (No. 123)
One atom of each set of equivalent atoms:
Ni1 0.0000 0.0000 0.2407 [2 per cell]  4 Pt 2.58, 4 Au 2.67, 4 Ni 2.72
Pt1 0.5000 0.5000 0.0000 [1 per cell]  8 Ni 2.58, 4 Pt 2.72
Au1 0.5000 0.5000 0.5000 [1 per cell]  8 Ni 2.67, 4 Au 2.72

***

Respective D(E_F) values: 0.754, 0.958, 0.752, 1.137, 0.762, 0.824, 0.684, 0.969, 0.877, 0.756, 0.784, 0.208, 0.434, 1.273, 0.759, 0.897, 0.635, 0.632, 1.221, 0.942 states/eV/atom.